Record 1
Crystalline Pm8GaGe3Br4 at its relaxed geometry. Source: the Alexandria database, functional PBE.

a b c (Å): 8.5909 8.7140 8.5908
angles (deg): 119.54 120.00 90.00
Atoms (fractional coordinates):
Pm: 0.7381 0.7141 0.4761
Pm: 0.7618 0.2841 0.5236
Pm: 0.2382 0.7159 0.9778
Pm: 0.2604 0.2841 0.0222
Pm: 0.7618 0.2841 0.0222
Pm: 0.7396 0.7159 0.9778
Pm: 0.2382 0.7159 0.4764
Pm: 0.2619 0.2859 0.5239
Br: 0.5000 0.0000 0.0000
Br: 0.5000 0.0000 0.5000
Br: 0.0000 0.0000 0.0000
Br: 0.0000 0.0000 0.5000
Ge: 0.5000 0.5000 0.0000
Ge: 0.0000 0.5000 0.5000
Ge: 0.5000 0.5000 0.5000
Ga: 0.0000 0.5000 0.0000

Summary:
Its theoretical density is 6.41 g cm⁻³. The formation energy without anion corrections comes out at -1086 meV per atom. As for the crystal system: trigonal. For the uncorrected energy, the calculation gives -78.953 eV for the cell shown. For the calculated volume, the calculation gives 28.62 Å³/atom.


Record 2
Crystalline Sn2BiAu at its relaxed geometry. Source: the Alexandria database, functional PBE.

a b c (Å): 5.7691 7.0114 10.8372
angles (deg): 90.00 90.00 90.00
Atoms (fractional coordinates):
Bi: 0.7500 0.1658 0.8388
Bi: 0.2500 0.8342 0.1612
Bi: 0.7500 0.6658 0.6612
Bi: 0.2500 0.3342 0.3388
Sn: 0.7500 0.0185 0.1896
Sn: 0.2500 0.7594 0.4631
Sn: 0.2500 0.9815 0.8104
Sn: 0.7500 0.2406 0.5369
Sn: 0.7500 0.7406 0.9631
Sn: 0.7500 0.5185 0.3104
Sn: 0.2500 0.2594 0.0369
Sn: 0.2500 0.4815 0.6896
Au: 0.7500 0.3749 0.0714
Au: 0.2500 0.6251 0.9286
Au: 0.2500 0.1251 0.5714
Au: 0.7500 0.8749 0.4286

Summary:
The energy relative to the elements is -18 meV per atom. Its theoretical density is 9.75 g cm⁻³. As for the crystal system: orthorhombic. For the uncorrected energy, the calculation gives -60.946 eV for the cell shown. For the calculated volume, the calculation gives 27.40 Å³/atom.


Record 3
Crystalline Cs3CaRh at its relaxed geometry. Source: the Alexandria database, functional PBE.

a b c (Å): 6.5434 6.5434 6.5434
angles (deg): 90.00 90.00 90.00
Atoms (fractional coordinates):
Cs: 0.0000 0.5000 0.0000
Cs: 0.0000 0.0000 0.5000
Cs: 0.5000 0.0000 0.0000
Ca: 0.5000 0.5000 0.5000
Rh: 0.0000 0.0000 0.0000

Summary:
The energy relative to the elements is 588 meV per atom. Its theoretical density is 3.21 g cm⁻³. As for the crystal system: cubic. For the uncorrected energy, the calculation gives -8.975 eV for the cell shown. For the calculated volume, the calculation gives 56.03 Å³/atom.


Record 4
Crystalline Al2CuGeC at its relaxed geometry. Source: the Alexandria database, functional PBE.

a b c (Å): 4.9155 3.4609 4.9155
angles (deg): 90.00 90.00 90.00
Atoms (fractional coordinates):
Al: 0.0000 0.0000 0.5000
Al: 0.5000 0.0000 0.0000
Ge: 0.5000 0.5000 0.5000
Cu: 0.0000 0.0000 0.0000
C: 0.0000 0.5000 0.0000

Summary:
The energy relative to the elements is 929 meV per atom. Its theoretical density is 4.01 g cm⁻³. As for the crystal system: tetragonal. For the uncorrected energy, the calculation gives -20.780 eV for the cell shown. For the calculated volume, the calculation gives 16.72 Å³/atom.


Question: What is the uncorrected energy in the fourth record?
Answer: -20.780 eV for the cell shown


Question: Among the records above, which one has the highest uncorrected energy?
Answer: Cs3CaRh